Material: BaMnTl
Method: DFT, PBE
State: relaxed Values from VASP.

Computed properties:
**Crystal system**: monoclinic
**Relative energy among the computed polymorphs**: 44 meV/atom
**M_tot**: 1.25 μB/atom
**Calculated total energy**: -4.304 eV per atom
**Energy of formation from the pure elements**: 0.18 eV per atom

Geometry as Quantum ESPRESSO input:
```
&SYSTEM
  ibrav = 0, nat = 6, ntyp = 3
/
ATOMIC_SPECIES
Ba 137.33 Ba.upf
Tl 204.38 Tl.upf
Mn 54.94 Mn.upf
CELL_PARAMETERS angstrom
-2.657 -3.983 3.000
3.558 -2.750 -0.499
4.013 4.203 5.444
ATOMIC_POSITIONS angstrom
Ba 0.383 -3.594 2.025
Tl 3.226 3.236 5.161
Mn 1.486 0.851 5.903
Ba 2.970 -0.429 3.028
Mn 2.361 -1.770 6.078
Tl -0.180 -1.087 4.706
```


Material: BaMn3Tl
Method: DFT, PBE
State: relaxed Values from VASP.

Computed properties:
**Crystal system**: cubic
**Relative energy among the computed polymorphs**: 0 meV/atom
**M_tot**: 2.43 μB/atom
**Calculated total energy**: -5.492 eV per atom
**Energy of formation from the pure elements**: 0.87 eV per atom

Geometry as Quantum ESPRESSO input:
```
&SYSTEM
  ibrav = 0, nat = 5, ntyp = 3
/
ATOMIC_SPECIES
Mn 54.94 Mn.upf
Tl 204.38 Tl.upf
Ba 137.33 Ba.upf
CELL_PARAMETERS angstrom
-1.845 1.899 -4.549
-2.329 -4.617 -0.983
-4.345 1.668 2.459
ATOMIC_POSITIONS angstrom
Mn -1.165 -2.309 -0.492
Tl 0.000 0.000 0.000
Ba -4.260 -0.525 -1.537
Mn -2.172 0.834 1.230
Mn -0.923 0.950 -2.275
```